(1)
A relaxed Pm2SiPt3 crystal. Source: the Alexandria database, functional PBE.

Calculated values
V   21.33 A^3/atom
ρ   11.72 g cm⁻³
Raw total energy   -6.603 eV/atom
DOS at the Fermi energy   0.5418 states/eV/atom
Crystal system   orthorhombic
E_form (uncorrected)   -1.096 eV/atom

a b c (Å): 3.8483 4.2821 7.7660
angles (deg): 90.00 90.00 90.00
Last column: nearest neighbours and their distance in Å.
Element x y z (fractional)
Si 0.5000 0.5000 0.3261  3 Pt 2.37-2.38
Pt 0.5000 0.0000 0.1920  2 Si 2.38
Pt 0.5000 0.0000 0.8449  3 Pt 2.70-2.71
Pm 0.0000 0.0000 0.5124  8 Pt 3.02-3.22, 4 Si 3.22
Pt 0.5000 0.5000 0.6318  1 Si 2.37
Pm 0.0000 0.5000 0.9928  10 Pt 3.10-3.40, 2 Si 3.23

(2)
A relaxed ErCd2Pd8 crystal. Source: the Alexandria database, functional PBE.

Calculated values
V   17.99 A^3/atom
ρ   10.44 g cm⁻³
Raw total energy   -4.632 eV/atom
DOS at the Fermi energy   0.6333 states/eV/atom
DFT formation energy   -3.01 eV per formula unit
Crystal system   orthorhombic

a b c (Å): 4.3849 6.8461 6.8462
angles (deg): 105.69 90.01 90.01
Last column: nearest neighbours and their distance in Å.
Element x y z (fractional)
Pd 0.9999 0.9636 0.6959  2 Cd 2.73-2.98, 7 Pd 2.82-2.96, 2 Er 2.99
Pd 0.0001 0.3041 0.0364  2 Cd 2.73-2.98, 7 Pd 2.82-2.96, 2 Er 2.99
Cd 0.0000 0.6259 0.3741  4 Pd 2.61-2.73, 1 Cd 2.75
Er 0.5000 0.0000 0.0000  12 Pd 2.67-2.99
Pd 0.4998 0.6667 0.6667  1 Er 2.76, 5 Pd 2.76-2.96, 4 Cd 2.93
Pd 0.5002 0.3333 0.3333  1 Er 2.76, 5 Pd 2.76-2.96, 4 Cd 2.93
Pd 0.5000 0.2447 0.7553  2 Cd 2.61, 1 Er 2.67, 4 Pd 2.87
Pd 0.0001 0.0364 0.3041  2 Cd 2.73-2.98, 7 Pd 2.82-2.96, 2 Er 2.99
Pd 0.9999 0.6959 0.9636  2 Cd 2.73-2.98, 7 Pd 2.82-2.96, 2 Er 2.99
Pd 0.5000 0.7553 0.2447  2 Cd 2.61, 1 Er 2.67, 4 Pd 2.87
Cd 0.0000 0.3741 0.6259  4 Pd 2.61-2.73, 1 Cd 2.75

(3)
A relaxed LaTc2Te crystal. Source: the Alexandria database, functional PBE.

Calculated values
V   21.15 A^3/atom
ρ   9.08 g cm⁻³
Raw total energy   -6.631 eV/atom
DOS at the Fermi energy   1.2853 states/eV/atom
Crystal system   trigonal
E_form (uncorrected)   0.569 eV/atom

a b c (Å): 8.4287 8.4287 8.4287
angles (deg): 23.65 23.65 23.65
Last column: nearest neighbours and their distance in Å.
Element x y z (fractional)
La 0.7500 0.7500 0.7500  6 Tc 3.01
Tc 0.5083 0.5083 0.5083  3 Te 2.72, 3 La 3.01
Tc 0.9917 0.9917 0.9917  3 Te 2.72, 3 La 3.01
Te 0.2500 0.2500 0.2500  6 Tc 2.72

(4)
A relaxed KTl2 crystal. Source: the Alexandria database, functional PBE.

Calculated values
V   33.49 A^3/atom
ρ   7.40 g cm⁻³
Raw total energy   -2.026 eV/atom
DOS at the Fermi energy   0.4732 states/eV/atom
DFT formation energy   -0.25 eV per formula unit
Crystal system   hexagonal

a b c (Å): 5.6437 5.6436 3.6422
angles (deg): 90.00 90.00 120.00
Last column: nearest neighbours and their distance in Å.
Element x y z (fractional)
Tl 0.3333 0.6666 0.5000  5 Tl 3.26-3.64
K 0.0000 0.0000 0.0000  2 K 3.64, 12 Tl 3.73
Tl 0.6667 0.3334 0.5000  5 Tl 3.26-3.64

(5)
A relaxed Sm3YPd12 crystal. Source: the Alexandria database, functional PBE.

Calculated values
V   18.05 A^3/atom
ρ   10.45 g cm⁻³
Raw total energy   -6.000 eV/atom
DOS at the Fermi energy   0.6498 states/eV/atom
DFT formation energy   -13.07 eV per formula unit
Crystal system   tetragonal

a b c (Å): 4.1548 4.1548 16.7265
angles (deg): 90.00 90.00 90.00
Last column: nearest neighbours and their distance in Å.
Element x y z (fractional)
Pd 0.0000 0.5000 0.6256  8 Pd 2.94-2.95, 4 Sm 2.95-2.96
Y 0.0000 0.0000 0.0000  12 Pd 2.92-2.94
Sm 0.0000 0.0000 0.2486  12 Pd 2.94-2.96
Pd 0.5000 0.5000 0.0000  8 Pd 2.92, 4 Y 2.94
Pd 0.5000 0.0000 0.1230  8 Pd 2.92-2.96, 2 Y 2.92, 2 Sm 2.95
Pd 0.5000 0.0000 0.8770  8 Pd 2.92-2.96, 2 Y 2.92, 2 Sm 2.95
Sm 0.0000 0.0000 0.7514  12 Pd 2.94-2.96
Pd 0.5000 0.5000 0.7511  4 Sm 2.94, 8 Pd 2.95-2.96
Sm 0.0000 0.0000 0.5000  12 Pd 2.94-2.95
Pd 0.5000 0.5000 0.2489  4 Sm 2.94, 8 Pd 2.95-2.96
Pd 0.0000 0.5000 0.3744  8 Pd 2.94-2.95, 4 Sm 2.95-2.96
Pd 0.5000 0.5000 0.5000  4 Sm 2.94, 8 Pd 2.95
Pd 0.0000 0.5000 0.1230  2 Y 2.92, 8 Pd 2.92-2.96, 2 Sm 2.95
Pd 0.5000 0.0000 0.6256  8 Pd 2.94-2.95, 4 Sm 2.95-2.96
Pd 0.0000 0.5000 0.8770  2 Y 2.92, 8 Pd 2.92-2.96, 2 Sm 2.95
Pd 0.5000 0.0000 0.3744  8 Pd 2.94-2.95, 4 Sm 2.95-2.96

(6)
A relaxed La4CuBr5 crystal. Source: the Alexandria database, functional PBE.

Calculated values
V   33.92 A^3/atom
ρ   4.99 g cm⁻³
Raw total energy   -4.594 eV/atom
DOS at the Fermi energy   0.6262 states/eV/atom
Crystal system   monoclinic
E_form (uncorrected)   -1.377 eV/atom

a b c (Å): 4.1223 8.9301 9.6379
angles (deg): 101.56 102.35 90.00
Last column: nearest neighbours and their distance in Å.
Element x y z (fractional)
Br 0.8330 0.1878 0.6660  4 La 3.11-3.15
La 0.0028 0.2259 0.0056  2 Cu 2.88, 4 Br 3.06-3.21
La 0.3366 0.9282 0.6732  1 Cu 3.01, 5 Br 3.07-3.15
La 0.9972 0.7741 0.9944  2 Cu 2.88, 4 Br 3.06-3.21
Br 0.1670 0.8122 0.3340  4 La 3.11-3.15
La 0.6634 0.0718 0.3268  1 Cu 3.01, 5 Br 3.07-3.15
Br 0.5000 0.5000 0.0000  4 La 3.21
Br 0.1684 0.3278 0.3367  3 La 3.06-3.07
Cu 0.5000 0.0000 0.0000  6 La 2.88-3.01
Br 0.8316 0.6722 0.6633  3 La 3.06-3.07

(7)
A relaxed Pm3Pr12Zn crystal. Source: the Alexandria database, functional PBE.

Calculated values
V   34.34 A^3/atom
ρ   6.62 g cm⁻³
Raw total energy   -4.542 eV/atom
DOS at the Fermi energy   1.4402 states/eV/atom
DFT formation energy   0.20 eV per formula unit
Crystal system   tetragonal

a b c (Å): 5.1409 5.1409 20.7902
angles (deg): 90.00 90.00 90.00
Last column: nearest neighbours and their distance in Å.
Element x y z (fractional)
Pm 0.0000 0.0000 0.2444  12 Pr 3.64-3.69
Pm 0.0000 0.0000 0.7556  12 Pr 3.64-3.69
Pr 0.5000 0.0000 0.1169  8 Pr 3.54-3.66, 2 Zn 3.54, 2 Pm 3.69
Zn 0.0000 0.0000 0.0000  12 Pr 3.54-3.64
Pr 0.5000 0.0000 0.3721  8 Pr 3.64-3.73, 4 Pm 3.69-3.70
Pr 0.5000 0.5000 0.5000  4 Pm 3.64, 8 Pr 3.70
Pr 0.5000 0.5000 0.2424  4 Pm 3.64, 8 Pr 3.66-3.73
Pr 0.5000 0.5000 0.0000  8 Pr 3.54, 4 Zn 3.64
Pr 0.0000 0.5000 0.1169  8 Pr 3.54-3.66, 2 Zn 3.54, 2 Pm 3.69
Pm 0.0000 0.0000 0.5000  12 Pr 3.64-3.70
Pr 0.5000 0.5000 0.7577  4 Pm 3.64, 8 Pr 3.66-3.73
Pr 0.0000 0.5000 0.3721  8 Pr 3.64-3.73, 4 Pm 3.69-3.70
Pr 0.5000 0.0000 0.8831  8 Pr 3.54-3.66, 2 Zn 3.54, 2 Pm 3.69
Pr 0.0000 0.5000 0.8831  8 Pr 3.54-3.66, 2 Zn 3.54, 2 Pm 3.69
Pr 0.0000 0.5000 0.6279  8 Pr 3.64-3.73, 4 Pm 3.69-3.70
Pr 0.5000 0.0000 0.6279  8 Pr 3.64-3.73, 4 Pm 3.69-3.70

(8)
A relaxed Sc3Cd2Pd8 crystal. Source: the Alexandria database, functional PBE.

Calculated values
V   18.45 A^3/atom
ρ   8.39 g cm⁻³
Raw total energy   -5.263 eV/atom
DOS at the Fermi energy   0.4153 states/eV/atom
DFT formation energy   -6.05 eV per formula unit
Crystal system   trigonal

a b c (Å): 5.3304 5.3304 10.2192
angles (deg): 74.88 74.88 60.00
Last column: nearest neighbours and their distance in Å.
Element x y z (fractional)
Sc 0.0000 0.0000 0.0000  6 Cd 3.22, 12 Pd 3.50-3.57
Pd 0.7234 0.7234 0.8300  1 Sc 2.59, 1 Cd 2.61
Pd 0.2768 0.2768 0.6692  4 Pd 2.66-2.67, 3 Sc 2.75-2.86, 1 Cd 2.75
Cd 0.6342 0.6342 0.0974  4 Pd 2.61-2.75
Sc 0.8119 0.8119 0.5642  10 Pd 2.59-2.86
Pd 0.2766 0.2766 0.1700  1 Sc 2.59, 1 Cd 2.61
Pd 0.7771 0.2768 0.6692  4 Pd 2.66-2.67, 3 Sc 2.75-2.86, 1 Cd 2.75
Pd 0.2229 0.7232 0.3308  4 Pd 2.66-2.67, 3 Sc 2.75-2.86, 1 Cd 2.75
Pd 0.7232 0.2229 0.3308  4 Pd 2.66-2.67, 3 Sc 2.75-2.86, 1 Cd 2.75
Pd 0.7232 0.7232 0.3308  4 Pd 2.66-2.67, 3 Sc 2.75-2.86, 1 Cd 2.75
Cd 0.3658 0.3658 0.9026  4 Pd 2.61-2.75
Pd 0.2768 0.7771 0.6692  4 Pd 2.66-2.67, 3 Sc 2.75-2.86, 1 Cd 2.75
Sc 0.1881 0.1881 0.4358  10 Pd 2.59-2.86

(9)
A relaxed Pu3AuSe6 crystal. Source: the Alexandria database, functional PBE.

Calculated values
V   26.18 A^3/atom
ρ   8.90 g cm⁻³
Raw total energy   -7.786 eV/atom
DOS at the Fermi energy   2.7731 states/eV/atom
Crystal system   orthorhombic
E_form (uncorrected)   -1.068 eV/atom

a b c (Å): 6.7196 8.9149 8.9149
angles (deg): 101.39 90.00 90.00
Last column: nearest neighbours and their distance in Å.
Element x y z (fractional)
Se 0.1585 0.7772 0.2228  1 Au 2.64, 2 Pu 2.90
Pu 0.3855 0.3922 0.6078  7 Se 2.87-3.01
Pu 0.4632 0.2766 0.0726  7 Se 2.87-3.03
Au 0.5499 0.7941 0.2059  4 Se 2.60-2.64
Pu 0.9632 0.0726 0.2766  7 Se 2.87-3.03
Se 0.6704 0.3073 0.3660  4 Pu 2.87-3.01
Pu 0.9632 0.7234 0.9274  7 Se 2.87-3.03
Se 0.7204 0.5367 0.0857  1 Au 2.60, 3 Pu 2.88-2.90
Se 0.6585 0.2228 0.7772  1 Au 2.64, 2 Pu 2.90
Pu 0.8855 0.6078 0.3922  7 Se 2.87-3.01
Se 0.6704 0.6340 0.6927  4 Pu 2.87-3.01
Pu 0.4632 0.9274 0.7234  7 Se 2.87-3.03
Se 0.1834 0.0255 0.9745  1 Au 2.64, 2 Pu 2.92
Se 0.6834 0.9745 0.0255  1 Au 2.64, 2 Pu 2.92
Se 0.7204 0.9143 0.4633  1 Au 2.60, 3 Pu 2.88-2.90
Au 0.0499 0.2059 0.7941  4 Se 2.60-2.64
Se 0.2204 0.0857 0.5367  1 Au 2.60, 3 Pu 2.88-2.90
Se 0.1704 0.6927 0.6340  4 Pu 2.87-3.01
Se 0.2204 0.4633 0.9143  1 Au 2.60, 3 Pu 2.88-2.90
Se 0.1704 0.3660 0.3073  4 Pu 2.87-3.01

(10)
A relaxed PmEr2IO8 crystal. Source: the Alexandria database, functional PBE.

Calculated values
V   14.48 A^3/atom
ρ   7.02 g cm⁻³
Raw total energy   -6.923 eV/atom
Crystal system   orthorhombic
E_form (uncorrected)   -2.332 eV/atom

a b c (Å): 5.0189 5.0188 6.8969
angles (deg): 90.00 90.00 89.87
Last column: nearest neighbours and their distance in Å.
Element x y z (fractional)
Er 0.5000 0.5000 0.2515  6 O 2.15-2.39
O 0.1833 0.8159 0.2032  1 I 1.91
O 0.6831 0.6843 0.5000  2 Er 2.15, 1 Pm 2.25
O 0.2688 0.2678 0.0000  1 I 1.91
O 0.7312 0.7322 0.0000  1 I 1.91
I 0.0000 0.0000 0.0000  6 O 1.91
O 0.1832 0.8158 0.7968  1 I 1.91
O 0.8168 0.1842 0.2032  1 I 1.91
Er 0.5000 0.5000 0.7485  6 O 2.15-2.39
O 0.3169 0.3157 0.5000  2 Er 2.15, 1 Pm 2.25
O 0.8167 0.1841 0.7968  1 I 1.91
Pm 0.0000 0.0000 0.5000  6 O 2.25-2.43

Q: What is the V in the third record?
A: 21.15 A^3/atom